First-principles (PBE) data for Li2Y2CuSn2Pt after structural relaxation, as listed in OQMD.

Computed properties:
- M_tot: 0.0002 μB per atom

Geometry as extended XYZ:
```
8
Lattice="4.733 0.000 0.000 0.000 4.733 0.000 0.000 0.000 6.694" Properties=species:S:1:pos:R:3 pbc="T T T"
Li 0.000 0.000 0.000
Li 2.367 2.367 3.347
Y 0.000 2.367 1.662
Y 2.367 0.000 5.033
Cu 2.367 2.367 0.000
Sn 0.000 2.367 5.078
Sn 2.367 0.000 1.616
Pt 0.000 0.000 3.347
```



First-principles (PBE) data for LiCuTePt after structural relaxation, as listed in OQMD.

Computed properties:
- Energy above the most stable polymorph in this dataset: 0 meV per atom
- M_tot: 0.0000 μB per atom

Geometry as extended XYZ:
```
16
Lattice="6.404 0.000 0.000 0.000 6.404 0.000 0.000 0.000 6.404" Properties=species:S:1:pos:R:3 pbc="T T T"
Li 0.000 0.000 0.000
Li 0.000 3.202 3.202
Li 3.202 0.000 3.202
Li 3.202 3.202 0.000
Cu 1.601 1.601 1.601
Cu 1.601 4.803 4.803
Cu 4.803 1.601 4.803
Cu 4.803 4.803 1.601
Te 1.601 1.601 4.803
Te 1.601 4.803 1.601
Te 4.803 1.601 1.601
Te 4.803 4.803 4.803
Pt 0.000 0.000 3.202
Pt 0.000 3.202 0.000
Pt 3.202 0.000 0.000
Pt 3.202 3.202 3.202
```



First-principles (PBE) data for LiZr2Tl2CuPt2 after structural relaxation, as listed in OQMD.

Computed properties:
- M_tot: 0.0006 μB per atom

Geometry as extended XYZ:
```
8
Lattice="4.667 0.000 0.000 0.000 4.667 0.000 0.000 0.000 6.619" Properties=species:S:1:pos:R:3 pbc="T T T"
Li 0.000 0.000 0.000
Zr 0.000 2.333 1.706
Zr 2.333 0.000 4.913
Tl 0.000 2.333 4.984
Tl 2.333 0.000 1.635
Cu 2.333 2.333 3.309
Pt 0.000 0.000 3.309
Pt 2.333 2.333 0.000
```



First-principles (PBE) data for LiZnCuPt after structural relaxation, as listed in OQMD.

Computed properties:
- Energy above the most stable polymorph in this dataset: 0 meV per atom
- M_tot: 0.0002 μB per atom

Geometry as extended XYZ:
```
16
Lattice="5.955 0.000 0.000 0.000 5.955 0.000 0.000 0.000 5.955" Properties=species:S:1:pos:R:3 pbc="T T T"
Li 0.000 0.000 0.000
Li 0.000 2.978 2.978
Li 2.978 0.000 2.978
Li 2.978 2.978 0.000
Zn 0.000 0.000 2.978
Zn 0.000 2.978 0.000
Zn 2.978 0.000 0.000
Zn 2.978 2.978 2.978
Cu 1.489 1.489 4.466
Cu 1.489 4.466 1.489
Cu 4.466 1.489 1.489
Cu 4.466 4.466 4.466
Pt 1.489 1.489 1.489
Pt 1.489 4.466 4.466
Pt 4.466 1.489 4.466
Pt 4.466 4.466 1.489
```



First-principles (PBE) data for LiPuCu after structural relaxation, as listed in OQMD.

Computed properties:
- Energy above the most stable polymorph in this dataset: 452 meV per atom
- M_tot: 2.1797 μB per atom

Geometry as extended XYZ:
```
12
Lattice="6.269 0.000 0.000 0.000 6.269 0.000 0.000 0.000 6.269" Properties=species:S:1:pos:R:3 pbc="T T T"
Li 0.000 0.000 0.000
Li 0.000 3.134 3.134
Li 3.134 0.000 3.134
Li 3.134 3.134 0.000
Pu 1.567 1.567 1.567
Pu 1.567 4.701 4.701
Pu 4.701 1.567 4.701
Pu 4.701 4.701 1.567
Cu 0.000 0.000 3.134
Cu 0.000 3.134 0.000
Cu 3.134 0.000 0.000
Cu 3.134 3.134 3.134
```



First-principles (PBE) data for LiPuCu after structural relaxation, as listed in OQMD.

Computed properties:
- Energy above the most stable polymorph in this dataset: 0 meV per atom
- M_tot: 2.0411 μB per atom

Geometry as extended XYZ:
```
12
Lattice="6.432 0.000 0.000 0.000 6.432 0.000 0.000 0.000 6.432" Properties=species:S:1:pos:R:3 pbc="T T T"
Li 0.000 0.000 0.000
Li 0.000 3.216 3.216
Li 3.216 0.000 3.216
Li 3.216 3.216 0.000
Pu 0.000 0.000 3.216
Pu 0.000 3.216 0.000
Pu 3.216 0.000 0.000
Pu 3.216 3.216 3.216
Cu 1.608 1.608 1.608
Cu 1.608 4.824 4.824
Cu 4.824 1.608 4.824
Cu 4.824 4.824 1.608
```



First-principles (PBE) data for LiPuCuSe3 after structural relaxation, as listed in OQMD.

Computed properties:
- M_tot: 0.6664 μB per atom

Geometry as extended XYZ:
```
12
Lattice="1.995 -6.371 0.000 1.995 6.371 0.000 0.000 0.000 10.573" Properties=species:S:1:pos:R:3 pbc="T T T"
Li 1.995 3.388 7.930
Li 1.995 -3.388 2.643
Pu 0.000 0.000 0.000
Pu 0.000 0.000 5.287
Cu 1.995 0.274 2.643
Cu 1.995 -0.274 7.930
Se 1.995 5.197 2.643
Se 1.995 1.825 0.794
Se 1.995 1.825 4.492
Se 1.995 -1.825 6.081
Se 1.995 -1.825 9.779
Se 1.995 -5.197 7.930
```



First-principles (PBE) data for LiPuCuTe3 after structural relaxation, as listed in OQMD.

Computed properties:
- M_tot: 0.6788 μB per atom

Geometry as extended XYZ:
```
12
Lattice="2.108 -7.125 0.000 2.108 7.125 0.000 0.000 0.000 11.248" Properties=species:S:1:pos:R:3 pbc="T T T"
Li 2.108 4.733 8.436
Li 2.108 -4.733 2.812
Pu 0.000 0.000 0.000
Pu 0.000 0.000 5.624
Cu 2.108 0.340 2.812
Cu 2.108 -0.340 8.436
Te 2.108 5.891 2.812
Te 2.108 2.048 0.807
Te 2.108 2.048 4.817
Te 2.108 -2.048 6.431
Te 2.108 -2.048 10.441
Te 2.108 -5.891 8.436
```



First-principles (PBE) data for RbLiCu after structural relaxation, as listed in OQMD.

Computed properties:
- Energy above the most stable polymorph in this dataset: 0 meV per atom

Geometry as extended XYZ:
```
12
Lattice="7.534 0.000 0.000 0.000 7.534 0.000 0.000 0.000 7.534" Properties=species:S:1:pos:R:3 pbc="T T T"
Rb 0.000 0.000 0.000
Rb 0.000 3.767 3.767
Rb 3.767 0.000 3.767
Rb 3.767 3.767 0.000
Li 0.000 0.000 3.767
Li 0.000 3.767 0.000
Li 3.767 0.000 0.000
Li 3.767 3.767 3.767
Cu 1.884 1.884 5.651
Cu 1.884 5.651 1.884
Cu 5.651 1.884 1.884
Cu 5.651 5.651 5.651
```



First-principles (PBE) data for RbLiCu after structural relaxation, as listed in OQMD.

Computed properties:
- Energy above the most stable polymorph in this dataset: 45 meV per atom

Geometry as extended XYZ:
```
12
Lattice="7.113 0.000 0.000 0.000 7.113 0.000 0.000 0.000 7.113" Properties=species:S:1:pos:R:3 pbc="T T T"
Rb 0.000 0.000 0.000
Rb 0.000 3.556 3.556
Rb 3.556 0.000 3.556
Rb 3.556 3.556 0.000
Li 1.778 1.778 5.335
Li 1.778 5.335 1.778
Li 5.335 1.778 1.778
Li 5.335 5.335 5.335
Cu 0.000 0.000 3.556
Cu 0.000 3.556 0.000
Cu 3.556 0.000 0.000
Cu 3.556 3.556 3.556
```



First-principles (PBE) data for LiCuRe after structural relaxation, as listed in OQMD.

Computed properties:
- Energy above the most stable polymorph in this dataset: 23 meV per atom
- M_tot: 0.5194 μB per atom

Geometry as extended XYZ:
```
12
Lattice="5.726 0.000 0.000 0.000 5.726 0.000 0.000 0.000 5.726" Properties=species:S:1:pos:R:3 pbc="T T T"
Li 0.000 0.000 0.000
Li 0.000 2.863 2.863
Li 2.863 0.000 2.863
Li 2.863 2.863 0.000
Cu 0.000 0.000 2.863
Cu 0.000 2.863 0.000
Cu 2.863 0.000 0.000
Cu 2.863 2.863 2.863
Re 1.431 1.431 4.294
Re 1.431 4.294 1.431
Re 4.294 1.431 1.431
Re 4.294 4.294 4.294
```



First-principles (PBE) data for LiCuRe2 after structural relaxation, as listed in OQMD.

Computed properties:
- M_tot: 0.0001 μB per atom

Geometry as extended XYZ:
```
16
Lattice="5.966 0.000 0.000 0.000 5.966 0.000 0.000 0.000 5.966" Properties=species:S:1:pos:R:3 pbc="T T T"
Li 0.000 0.000 0.000
Li 0.000 2.983 2.983
Li 2.983 0.000 2.983
Li 2.983 2.983 0.000
Cu 1.492 1.492 1.492
Cu 1.492 4.475 4.475
Cu 4.475 1.492 4.475
Cu 4.475 4.475 1.492
Re 0.000 0.000 2.983
Re 0.000 2.983 0.000
Re 1.492 1.492 4.475
Re 1.492 4.475 1.492
Re 2.983 0.000 0.000
Re 2.983 2.983 2.983
Re 4.475 1.492 1.492
Re 4.475 4.475 4.475
```



First-principles (PBE) data for LiCu3ReS4 after structural relaxation, as listed in OQMD.

Computed properties:
- M_tot: 0.3237 μB per atom

Geometry as extended XYZ:
```
9
Lattice="5.484 0.000 0.000 0.000 5.484 0.000 0.000 0.000 5.484" Properties=species:S:1:pos:R:3 pbc="T T T"
Li 0.000 0.000 0.000
Cu 0.000 2.742 2.742
Cu 2.742 0.000 2.742
Cu 2.742 2.742 0.000
Re 2.742 2.742 2.742
S 1.402 1.402 1.402
S 1.402 4.083 4.083
S 4.083 1.402 4.083
S 4.083 4.083 1.402
```



First-principles (PBE) data for LiCuReS3 after structural relaxation, as listed in OQMD.

Computed properties:
- M_tot: 0.0066 μB per atom

Geometry as extended XYZ:
```
12
Lattice="1.635 -6.128 0.000 1.635 6.128 0.000 0.000 0.000 9.209" Properties=species:S:1:pos:R:3 pbc="T T T"
Li 1.635 3.165 6.906
Li 1.635 -3.165 2.302
Cu 1.635 0.562 2.302
Cu 1.635 -0.562 6.906
Re 0.000 0.000 0.000
Re 0.000 0.000 4.604
S 1.635 5.042 2.302
S 1.635 1.745 0.425
S 1.635 1.745 4.180
S 1.635 -1.745 5.029
S 1.635 -1.745 8.784
S 1.635 -5.042 6.906
```



First-principles (PBE) data for LiCuReSe2S after structural relaxation, as listed in OQMD.

Computed properties:
- M_tot: 0.0391 μB per atom

Geometry as extended XYZ:
```
12
Lattice="1.701 -6.443 0.000 1.701 6.443 0.000 0.000 0.000 9.264" Properties=species:S:1:pos:R:3 pbc="T T T"
Li 1.701 3.286 6.948
Li 1.701 -3.286 2.316
Cu 1.701 5.956 2.316
Cu 1.701 -5.956 6.948
Re 1.701 0.000 0.000
Re 1.701 0.000 4.632
Se 1.701 4.557 0.396
Se 1.701 4.557 4.235
Se 1.701 -4.557 5.028
Se 1.701 -4.557 8.867
S 1.701 1.033 2.316
S 1.701 -1.033 6.948
```



First-principles (PBE) data for LiCuReSe3 after structural relaxation, as listed in OQMD.

Computed properties:
- M_tot: 0.0044 μB per atom

Geometry as extended XYZ:
```
12
Lattice="1.703 -6.441 0.000 1.703 6.441 0.000 0.000 0.000 9.531" Properties=species:S:1:pos:R:3 pbc="T T T"
Li 1.703 3.529 7.149
Li 1.703 -3.529 2.383
Cu 1.703 0.509 2.383
Cu 1.703 -0.509 7.149
Re 0.000 0.000 0.000
Re 0.000 0.000 4.766
Se 1.703 5.227 2.383
Se 1.703 1.860 0.436
Se 1.703 1.860 4.330
Se 1.703 -1.860 5.202
Se 1.703 -1.860 9.095
Se 1.703 -5.227 7.149
```



First-principles (PBE) data for LiCu3ReSe4 after structural relaxation, as listed in OQMD.

Computed properties:
- M_tot: 0.3236 μB per atom

Geometry as extended XYZ:
```
9
Lattice="5.702 0.000 0.000 0.000 5.702 0.000 0.000 0.000 5.702" Properties=species:S:1:pos:R:3 pbc="T T T"
Li 0.000 0.000 0.000
Cu 0.000 2.851 2.851
Cu 2.851 0.000 2.851
Cu 2.851 2.851 0.000
Re 2.851 2.851 2.851
Se 1.436 1.436 1.436
Se 1.436 4.266 4.266
Se 4.266 1.436 4.266
Se 4.266 4.266 1.436
```



First-principles (PBE) data for LiCuReTe2Se after structural relaxation, as listed in OQMD.

Computed properties:
- M_tot: 0.0051 μB per atom

Geometry as extended XYZ:
```
12
Lattice="1.780 -6.988 0.000 1.780 6.988 0.000 0.000 0.000 9.717" Properties=species:S:1:pos:R:3 pbc="T T T"
Li 1.780 3.602 7.288
Li 1.780 -3.602 2.429
Cu 1.780 6.519 2.429
Cu 1.780 -6.519 7.288
Re 1.780 0.000 0.000
Re 1.780 0.000 4.859
Te 1.780 4.936 0.417
Te 1.780 4.936 4.441
Te 1.780 -4.936 5.276
Te 1.780 -4.936 9.300
Se 1.780 1.139 2.429
Se 1.780 -1.139 7.288
```



First-principles (PBE) data for LiCuReSn after structural relaxation, as listed in OQMD.

Computed properties:
- Energy above the most stable polymorph in this dataset: 109 meV per atom
- M_tot: 0.2152 μB per atom

Geometry as extended XYZ:
```
16
Lattice="6.167 0.000 0.000 0.000 6.167 0.000 0.000 0.000 6.167" Properties=species:S:1:pos:R:3 pbc="T T T"
Li 0.000 0.000 0.000
Li 0.000 3.083 3.083
Li 3.083 0.000 3.083
Li 3.083 3.083 0.000
Cu 0.000 0.000 3.083
Cu 0.000 3.083 0.000
Cu 3.083 0.000 0.000
Cu 3.083 3.083 3.083
Re 1.542 1.542 4.625
Re 1.542 4.625 1.542
Re 4.625 1.542 1.542
Re 4.625 4.625 4.625
Sn 1.542 1.542 1.542
Sn 1.542 4.625 4.625
Sn 4.625 1.542 4.625
Sn 4.625 4.625 1.542
```



First-principles (PBE) data for LiCuReSn after structural relaxation, as listed in OQMD.

Computed properties:
- Energy above the most stable polymorph in this dataset: 0 meV per atom
- M_tot: 0.0072 μB per atom

Geometry as extended XYZ:
```
16
Lattice="6.251 0.000 0.000 0.000 6.251 0.000 0.000 0.000 6.251" Properties=species:S:1:pos:R:3 pbc="T T T"
Li 0.000 0.000 0.000
Li 0.000 3.126 3.126
Li 3.126 0.000 3.126
Li 3.126 3.126 0.000
Cu 1.563 1.563 4.689
Cu 1.563 4.689 1.563
Cu 4.689 1.563 1.563
Cu 4.689 4.689 4.689
Re 1.563 1.563 1.563
Re 1.563 4.689 4.689
Re 4.689 1.563 4.689
Re 4.689 4.689 1.563
Sn 0.000 0.000 3.126
Sn 0.000 3.126 0.000
Sn 3.126 0.000 0.000
Sn 3.126 3.126 3.126
```



First-principles (PBE) data for LiCu3S2 after structural relaxation, as listed in OQMD.

Geometry as extended XYZ:
```
12
Lattice="7.145 -1.863 0.000 7.145 1.863 0.000 -4.497 0.000 6.847" Properties=species:S:1:pos:R:3 pbc="T T T"
Li 0.985 0.000 1.446
Li 8.808 0.000 5.401
Cu -2.390 0.000 4.874
Cu 4.449 0.000 0.247
Cu 3.566 0.000 3.122
Cu 6.227 0.000 3.725
Cu 5.345 0.000 6.600
Cu 12.183 0.000 1.973
S -0.084 0.000 4.877
S 3.417 0.000 5.368
S 6.377 0.000 1.479
S 9.878 0.000 1.970
```



First-principles (PBE) data for LiCuSiSeS2 after structural relaxation, as listed in OQMD.

Geometry as extended XYZ:
```
12
Lattice="1.670 -6.230 0.000 1.670 6.230 0.000 0.000 0.000 9.942" Properties=species:S:1:pos:R:3 pbc="T T T"
Li 1.670 3.374 7.456
Li 1.670 -3.374 2.485
Cu 1.670 5.092 2.485
Cu 1.670 -5.092 7.456
Si 1.670 0.000 0.000
Si 1.670 0.000 4.971
Se 1.670 0.821 2.485
Se 1.670 -0.821 7.456
S 1.670 4.628 0.344
S 1.670 4.628 4.627
S 1.670 -4.628 5.315
S 1.670 -4.628 9.598
```



First-principles (PBE) data for LiCuSnSe2S after structural relaxation, as listed in OQMD.

Geometry as extended XYZ:
```
12
Lattice="1.905 -6.159 0.000 1.905 6.159 0.000 0.000 0.000 10.504" Properties=species:S:1:pos:R:3 pbc="T T T"
Li 1.905 3.445 7.878
Li 1.905 -3.445 2.626
Cu 1.905 5.733 2.626
Cu 1.905 -5.733 7.878
Sn 1.905 0.000 0.000
Sn 1.905 0.000 5.252
Se 1.905 4.314 0.625
Se 1.905 4.314 4.627
Se 1.905 -4.314 5.877
Se 1.905 -4.314 9.879
S 1.905 0.973 2.626
S 1.905 -0.973 7.878
```



First-principles (PBE) data for LiCuSnSeS2 after structural relaxation, as listed in OQMD.

Geometry as extended XYZ:
```
12
Lattice="1.835 -6.126 0.000 1.835 6.126 0.000 0.000 0.000 10.616" Properties=species:S:1:pos:R:3 pbc="T T T"
Li 1.835 3.079 7.962
Li 1.835 -3.079 2.654
Cu 1.835 0.678 2.654
Cu 1.835 -0.678 7.962
Sn 0.000 0.000 0.000
Sn 0.000 0.000 5.308
Se 1.835 5.045 2.654
Se 1.835 -5.045 7.962
S 1.835 1.721 0.661
S 1.835 1.721 4.647
S 1.835 -1.721 5.969
S 1.835 -1.721 9.955
```



Summary of DFT total energy in eV for the cell shown
-39.77; -63.12; -43.15; -58.07; -69.07; -74.50; -72.65; -66.97; -20.35; -19.80; -54.88; -118.12; -43.92; -64.84; -61.17; -59.60; -40.50; -56.05; -79.68; -81.43; -47.59; -50.77; -46.79; -48.17
(order as listed above)